Here is an optimized crystal structure of KNpFeO6 from Alexandria via LeMat-Bulk. Energies are from PBE with a Hubbard U.

The structure in CIF format:
```
data_KNpFeO6
_chemical_formula_sum 'K1 Np1 Fe1 O6'
_symmetry_space_group_name_H-M 'P 1'
_symmetry_Int_Tables_number 1
_cell_length_a 5.288
_cell_length_b 5.287
_cell_length_c 6.014
_cell_angle_alpha 89.92
_cell_angle_beta 89.96
_cell_angle_gamma 60.00
loop_
_symmetry_equiv_pos_as_xyz
'x,y,z'
loop_
_atom_site_label
_atom_site_type_symbol
_atom_site_fract_x
_atom_site_fract_y
_atom_site_fract_z
K1 K 0.000 0.000 0.000
Np1 Np 0.667 0.667 0.500
Fe1 Fe 0.333 0.333 0.500
O1 O 0.014 0.371 0.322
O2 O 0.371 0.014 0.678
O3 O 0.615 0.371 0.678
O4 O 0.014 0.615 0.678
O5 O 0.371 0.616 0.322
O6 O 0.615 0.014 0.322
```

## Properties
The calculation puts the electronic total energy at -66.14 eV per cell.